DFT (PBE-GGA) results for an optimized crystal structure of K4Ga.

Lattice parameters (Å, degrees): 6.775 6.775 6.775 90.00 90.00 90.00
Sites, in units of the cell vectors:
1 K 0.000 0.000 0.000
2 K 0.000 0.500 0.500
3 K 0.500 0.000 0.500
4 K 0.500 0.500 0.000
5 Ga 0.500 0.500 0.500

Values from the calculation:
Size of the total moment (Bohr magnetons per cell): 0.00
Formation energy from the elements (meV per atom): 125
Symmetry: Pm-3m (221)